Computed, not measured: crystalline CsPd3Rh at its relaxed geometry at the PBE-GGA level of DFT.

CIF file:
```
data_CsPd3Rh
_cell_length_a 5.0205
_cell_length_b 5.0205
_cell_length_c 5.0205
_cell_angle_alpha 90.00
_cell_angle_beta 90.00
_cell_angle_gamma 90.00
_space_group_name_H-M_alt 'P m -3 m'
_space_group_IT_number 221
_space_group_name_Hall '-P 4 2 3'
loop_
_atom_site_label
_atom_site_type_symbol
_atom_site_fract_x
_atom_site_fract_y
_atom_site_fract_z
Cs1 Cs 0.0000 0.0000 0.0000
Pd1 Pd 0.0000 0.5000 0.5000
Rh1 Rh 0.5000 0.5000 0.5000
```

Magnetic moment   0.373 μB/atom
DFT total energy   -20.38 eV for the cell shown
Formation energy   3.400 eV per formula unit